[1]
Material: Pr7DyTm4
Method: DFT, PBE
State: optimized geometry

Summary:
* symmetry: P-1 (2)
* ΔE_f: 0.01 eV/atom
* density of states at the Fermi level: 16.84 states/eV/f.u.
* uncorrected energy: -4.652 eV per atom

```
Pr7DyTm4
1.0
7.053 1.695 0.900
5.415 7.594 2.521
-1.039 -0.465 8.943
Pr Dy Tm
7 1 4
Direct
0.742 0.501 0.003
0.258 0.499 0.997
0.965 0.282 0.664
0.035 0.718 0.336
0.726 0.775 0.665
0.500 0.000 0.000
0.274 0.225 0.335
0.000 0.000 0.000
0.517 0.725 0.333
0.483 0.275 0.667
0.217 0.784 0.664
0.783 0.216 0.336
```

---

[2]
Material: TmPuGaRu
Method: DFT, PBE
State: optimized geometry

Summary:
* symmetry: F-43m (216)
* ΔE_f: -0.29 eV/atom
* density of states at the Fermi level: 7.03 states/eV/f.u.
* uncorrected energy: -8.071 eV per atom

```
TmPuGaRu
1.0
-1.250 1.350 -4.532
3.226 -0.415 -3.653
-0.655 -3.387 -3.468
Ru Tm Ga Pu
1 1 1 1
Direct
0.750 0.750 0.750
0.000 0.000 0.000
0.250 0.250 0.250
0.500 0.500 0.500
```

---

[3]
Material: NaFe2NiRh
Method: DFT, PBE
State: optimized geometry

Summary:
* symmetry: P4/mmm (123)
* ΔE_f: 0.87 eV/atom
* density of states at the Fermi level: 6.72 states/eV/f.u.
* uncorrected energy: -5.408 eV per atom

```
NaFe2NiRh
1.0
-0.208 -4.297 1.053
0.809 -1.123 -4.425
4.356 -0.014 0.800
Ni Rh Fe Na
1 1 2 1
Direct
0.000 0.000 0.000
0.000 0.500 0.000
0.000 0.000 0.500
0.500 0.000 0.000
0.500 0.500 0.500
```

---

[4]
Material: CaFe2Hg
Method: DFT, PBE
State: optimized geometry

Summary:
* symmetry: I4/mmm (139)
* ΔE_f: 0.46 eV/atom
* density of states at the Fermi level: 3.33 states/eV/f.u.
* uncorrected energy: -4.352 eV per atom

```
CaFe2Hg
1.0
5.214 -0.008 -0.043
1.989 4.820 0.043
-3.578 -2.441 2.903
Ca Hg Fe
1 1 2
Direct
0.250 0.750 0.500
0.750 0.250 0.500
0.000 0.000 0.000
0.500 0.500 0.000
```

---

[5]
Material: BaCo2Te
Method: DFT, PBE
State: optimized geometry

Summary:
* symmetry: I-4m2 (119)
* formation energy from raw total energies: 60.2 kJ/mol of atoms
* density of states at the Fermi level: 6.66 states/eV/f.u.
* uncorrected energy: -4.195 eV per atom

```
BaCo2Te
1.0
-4.629 -2.754 2.532
0.103 -1.295 5.808
1.030 4.656 -3.562
Ba Co Te
1 2 1
Direct
0.750 0.250 0.500
0.000 0.000 0.000
0.250 0.750 0.500
0.500 0.500 0.000
```

---

[6]
Material: Ce3Ge2Pt7
Method: DFT, PBE
State: optimized geometry

Summary:
* symmetry: I4/mmm (139)
* ΔE_f: -0.88 eV/atom
* density of states at the Fermi level: 18.34 states/eV/f.u.
* uncorrected energy: -6.656 eV per atom

```
Ce3Ge2Pt7
1.0
-3.132 2.569 -0.549
-0.740 -1.682 -3.652
-6.770 -9.762 8.157
Ce Ge Pt
3 2 7
Direct
0.323 0.323 0.646
0.677 0.677 0.354
0.500 0.500 0.000
0.129 0.129 0.257
0.871 0.871 0.743
0.000 0.000 0.000
0.923 0.423 0.845
0.423 0.923 0.845
0.077 0.577 0.155
0.577 0.077 0.155
0.218 0.218 0.437
0.782 0.782 0.563
```

---

[7]
Material: Dy6Hg3TeSe2
Method: DFT, PBE
State: optimized geometry

Summary:
* symmetry: C2/m (12)
* formation energy from raw total energies: -97.1 kJ/mol of atoms
* density of states at the Fermi level: 6.07 states/eV/f.u.
* uncorrected energy: -4.226 eV per atom

```
Dy6Hg3TeSe2
1.0
4.021 0.000 0.000
0.000 9.003 -0.243
-2.011 -3.182 9.048
Dy Hg Te Se
6 3 1 2
Direct
0.330 0.906 0.660
0.671 0.567 0.341
0.670 0.094 0.340
0.008 0.256 0.016
0.992 0.744 0.984
0.329 0.433 0.659
0.500 0.500 0.000
0.839 0.177 0.678
0.161 0.823 0.322
0.500 0.000 0.000
0.831 0.670 0.663
0.169 0.330 0.337
```

---

[8]
Material: Dy2Al5Ir3
Method: DFT, PBE
State: optimized geometry

Summary:
* symmetry: Cmc2_1 (36)
* ΔE_f: -0.84 eV/atom
* density of states at the Fermi level: 4.62 states/eV/f.u.
* uncorrected energy: -6.286 eV per atom

```
Dy2Al5Ir3
1.0
-2.543 -0.594 -3.373
5.303 -2.288 -3.595
-1.115 -11.254 5.519
Dy Al Ir
4 10 6
Direct
0.477 0.782 0.955
0.176 0.708 0.352
0.824 0.208 0.648
0.523 0.282 0.045
0.401 0.405 0.802
0.287 0.497 0.575
0.713 0.997 0.425
0.128 0.252 0.255
0.293 0.891 0.587
0.945 0.113 0.890
0.707 0.391 0.413
0.872 0.752 0.745
0.055 0.613 0.110
0.599 0.905 0.198
0.772 0.691 0.543
0.610 0.529 0.220
0.048 0.996 0.096
0.228 0.191 0.457
0.952 0.496 0.904
0.390 0.029 0.780
```

---

- Which value of density of states at the Fermi level does entry 1 give?
  16.84 states/eV/f.u.

---

- uncorrected energy of number 3 (NaFe2NiRh)?
  -5.408 eV per atom

---

- What is the formula in the fourth record?
  CaFe2Hg

---

- density of states at the Fermi level of number 3 (NaFe2NiRh)?
  6.72 states/eV/f.u.